Computed, not measured: MnPF3 after structural relaxation at the PBE with a Hubbard U level of DFT.

Lattice parameters (Å, degrees): 4.3002 4.3002 4.3002 90.00 90.00 90.00
Atoms (fractional coordinates):
Mn1 0.0000 0.0000 0.0000
P1 0.5000 0.5000 0.5000
F1 0.0000 0.5000 0.5000
F2 0.5000 0.0000 0.5000
F3 0.5000 0.5000 0.0000

Values from the calculation:
V (Å³/f.u.): 79.52
Magnetization (μB/atom): 1.04
Energy above the lowest structure with this stoichiometry (meV per atom): 0